No. 1
# Nd12HoCo6 (GGA-PBE, relaxed)
# - DFT total energy: -5.538 eV per atom
# - Spin magnetization: 0.0 μB per formula unit
# - Calculated volume: 1027.5 Å³/cell
data_Nd12HoCo6
_cell_length_a 10.091
_cell_length_b 10.091
_cell_length_c 10.091
_cell_angle_alpha 90.00
_cell_angle_beta 90.00
_cell_angle_gamma 90.00
_symmetry_space_group_name_H-M 'I m -3'
_symmetry_Int_Tables_number 204
_symmetry_space_group_name_Hall '-I 2 2 3'
loop_
_atom_site_label
_atom_site_fract_x
_atom_site_fract_y
_atom_site_fract_z
Nd1 0.000 0.310 0.195
Ho1 0.000 0.000 0.000
Co1 0.000 0.111 0.500

No. 2
# Tb2YInN (GGA-PBE, relaxed)
# - ΔE_f (raw): -0.996 eV/atom
# - DFT total energy: -6.354 eV per atom
# - Spin magnetization: 0.0 μB per formula unit
# - Calculated volume: 113.7 Å³/cell
data_Tb2YInN
_cell_length_a 4.851
_cell_length_b 4.851
_cell_length_c 4.831
_cell_angle_alpha 90.00
_cell_angle_beta 90.00
_cell_angle_gamma 90.00
_symmetry_space_group_name_H-M 'P 4/m m m'
_symmetry_Int_Tables_number 123
_symmetry_space_group_name_Hall '-P 4 2'
loop_
_atom_site_label
_atom_site_fract_x
_atom_site_fract_y
_atom_site_fract_z
Tb1 0.000 0.500 0.000
Y1 0.000 0.000 0.500
In1 0.500 0.500 0.500
N1 0.000 0.000 0.000

No. 3
# CeDyTlTc (GGA-PBE, relaxed)
# - DFT total energy: -6.016 eV per atom
# - Spin magnetization: 0.0 μB per formula unit
# - Energy above the lowest structure with this stoichiometry: 0.0000 eV/atom
# - Calculated volume: 98.1 Å³/cell
data_CeDyTlTc
_cell_length_a 3.413
_cell_length_b 3.413
_cell_length_c 8.423
_cell_angle_alpha 90.00
_cell_angle_beta 90.00
_cell_angle_gamma 90.00
_symmetry_space_group_name_H-M 'P 4 m m'
_symmetry_Int_Tables_number 99
loop_
_symmetry_equiv_pos_as_xyz
'x,y,z'
'-y,x,z'
'-x,-y,z'
'y,-x,z'
'-x,y,z'
'y,x,z'
'x,-y,z'
'-y,-x,z'
loop_
_atom_site_label
_atom_site_fract_x
_atom_site_fract_y
_atom_site_fract_z
Ce1 0.000 0.000 0.000
Dy1 0.000 0.000 0.403
Tl1 0.500 0.500 0.694
Tc1 0.500 0.500 0.192

Copy entry 3 word for word.
# CeDyTlTc (GGA-PBE, relaxed)
# - DFT total energy: -6.016 eV per atom
# - Spin magnetization: 0.0 μB per formula unit
# - Energy above the lowest structure with this stoichiometry: 0.0000 eV/atom
# - Calculated volume: 98.1 Å³/cell
data_CeDyTlTc
_cell_length_a 3.413
_cell_length_b 3.413
_cell_length_c 8.423
_cell_angle_alpha 90.00
_cell_angle_beta 90.00
_cell_angle_gamma 90.00
_symmetry_space_group_name_H-M 'P 4 m m'
_symmetry_Int_Tables_number 99
loop_
_symmetry_equiv_pos_as_xyz
'x,y,z'
'-y,x,z'
'-x,-y,z'
'y,-x,z'
'-x,y,z'
'y,x,z'
'x,-y,z'
'-y,-x,z'
loop_
_atom_site_label
_atom_site_fract_x
_atom_site_fract_y
_atom_site_fract_z
Ce1 0.000 0.000 0.000
Dy1 0.000 0.000 0.403
Tl1 0.500 0.500 0.694
Tc1 0.500 0.500 0.192